Entry 1:
This record from OQMD describes ZrTlTe3Au after structural relaxation. The functional is GGA-PBE.

Its space group is Pnma, No. 62. For the volume, the calculation gives 172.6 Å³/f.u. As for the total energy: -105.424 eV for the cell shown. The calculation puts the energy above the most stable polymorph in this dataset at 0.104 eV/atom.

Cell and atoms, written as extended XYZ:
```
24
Lattice="8.455 0.000 0.000 0.000 4.466 0.000 0.000 0.000 18.279" Properties=species:S:1:pos:R:3 pbc="T T T"
Au 4.101 3.350 3.106
Au 8.329 3.350 6.033
Au 0.126 1.117 12.246
Au 4.354 1.117 15.172
Te 7.393 3.350 0.786
Te 4.200 1.117 1.360
Te 1.360 3.350 3.668
Te 5.587 3.350 5.472
Te 8.427 1.117 7.780
Te 3.166 3.350 8.353
Te 5.289 1.117 9.926
Te 0.027 3.350 10.499
Te 2.868 1.117 12.807
Te 7.095 1.117 14.611
Te 4.255 3.350 16.919
Te 1.062 1.117 17.492
Tl 7.206 1.117 3.453
Tl 2.979 1.117 5.686
Tl 5.476 3.350 12.592
Tl 1.248 3.350 14.826
Zr 2.024 3.350 0.893
Zr 6.251 3.350 8.247
Zr 2.204 1.117 10.032
Zr 6.431 1.117 17.386
```

=====

Entry 2:
This record from OQMD describes ZrTlTe3Au after structural relaxation. The functional is GGA-PBE.

Its space group is Cmcm, No. 63. For the volume, the calculation gives 173.8 Å³/f.u. As for the total energy: -53.613 eV for the cell shown. The calculation puts the energy above the most stable polymorph in this dataset at 0.029 eV/atom.

Cell and atoms, written as extended XYZ:
```
12
Lattice="2.050 -7.734 0.000 2.050 7.734 0.000 0.000 0.000 10.959" Properties=species:S:1:pos:R:3 pbc="T T T"
Au 2.050 -7.100 2.740
Au 2.050 7.100 8.220
Te 2.050 -5.634 0.418
Te 2.050 -1.235 2.740
Te 2.050 -5.634 5.062
Te 2.050 5.634 5.898
Te 2.050 1.235 8.220
Te 2.050 5.634 10.541
Tl 2.050 3.599 2.740
Tl 2.050 -3.599 8.220
Zr 2.050 0.000 0.000
Zr 2.050 0.000 5.480
```

=====

Entry 3:
This record from OQMD describes ZrTlTe3Au after structural relaxation. The functional is GGA-PBE.

Its space group is Pnma, No. 62. For the volume, the calculation gives 171.3 Å³/f.u. As for the total energy: -105.864 eV for the cell shown. The calculation puts the energy above the most stable polymorph in this dataset at 0.086 eV/atom.

Cell and atoms, written as extended XYZ:
```
24
Lattice="12.027 0.000 0.000 0.000 4.343 0.000 0.000 0.000 13.119" Properties=species:S:1:pos:R:3 pbc="T T T"
Au 8.713 0.000 2.380
Au 2.699 2.172 4.179
Au 9.328 0.000 8.940
Au 3.314 2.172 10.739
Te 10.202 0.000 0.148
Te 5.419 2.172 1.255
Te 2.236 0.000 2.618
Te 8.249 2.172 3.941
Te 11.433 0.000 5.304
Te 4.188 2.172 6.412
Te 7.839 0.000 6.707
Te 0.594 2.172 7.815
Te 3.778 0.000 9.178
Te 9.792 2.172 10.501
Te 6.608 0.000 11.864
Te 1.826 2.172 12.972
Tl 11.497 2.172 2.682
Tl 5.484 0.000 3.878
Tl 6.544 2.172 9.242
Tl 0.530 0.000 10.437
Zr 8.200 2.172 0.120
Zr 2.187 0.000 6.440
Zr 9.841 2.172 6.679
Zr 3.827 0.000 13.000
```

=====

Entry 4:
This record from OQMD describes ZrTlTe3Au after structural relaxation. The functional is GGA-PBE.

Its space group is Pnma, No. 62. For the volume, the calculation gives 178.8 Å³/f.u. As for the total energy: -107.572 eV for the cell shown. The calculation puts the energy above the most stable polymorph in this dataset at 0.015 eV/atom.

Cell and atoms, written as extended XYZ:
```
24
Lattice="11.429 0.000 0.000 0.000 4.143 0.000 0.000 0.000 15.107" Properties=species:S:1:pos:R:3 pbc="T T T"
Au 8.614 1.036 3.034
Au 2.899 1.036 4.520
Au 8.529 3.107 10.587
Au 2.815 3.107 12.074
Te 6.317 1.036 1.605
Te 11.179 1.036 1.910
Te 3.222 3.107 2.655
Te 8.936 3.107 4.898
Te 5.465 1.036 5.644
Te 0.603 1.036 5.949
Te 10.826 3.107 9.159
Te 5.964 3.107 9.463
Te 2.493 1.036 10.209
Te 8.207 1.036 12.452
Te 0.250 3.107 13.198
Te 5.112 3.107 13.502
Tl 8.909 3.107 0.203
Tl 3.195 3.107 7.351
Tl 8.234 1.036 7.757
Tl 2.520 1.036 14.904
Zr 6.350 3.107 3.715
Zr 0.635 3.107 3.838
Zr 10.794 1.036 11.269
Zr 5.079 1.036 11.392
```

=====

Entry 5:
This record from OQMD describes ZrTlTe3Au after structural relaxation. The functional is GGA-PBE.

Its space group is P2_1/m, No. 11. For the volume, the calculation gives 179.8 Å³/f.u. As for the total energy: -53.961 eV for the cell shown. The calculation puts the energy above the most stable polymorph in this dataset at 0.000 eV/atom.

Cell and atoms, written as extended XYZ:
```
12
Lattice="-5.827 -5.617 -3.050 1.432 -2.897 2.600 -4.010 5.462 8.293" Properties=species:S:1:pos:R:3 pbc="T T T"
Au -2.940 -2.403 3.904
Au -5.465 -0.649 3.939
Te -4.939 -6.828 0.074
Te -1.979 -3.840 1.773
Te -2.756 0.444 3.666
Te -5.649 -3.496 4.177
Te -6.426 0.788 6.070
Te -3.466 3.775 7.769
Tl -5.322 -3.513 0.670
Tl -3.083 0.461 7.173
Zr -1.581 -0.944 1.473
Zr -6.824 -2.108 6.370
```

=====

Entry 6:
This record from OQMD describes ZrTlTe4Au3 after structural relaxation. The functional is GGA-PBE.

Its space group is P-43m, No. 215. For the volume, the calculation gives 304.8 Å³/f.u. As for the total energy: -36.237 eV for the cell shown. The calculation puts the energy above the most stable polymorph in this dataset at 0.000 eV/atom.

Cell and atoms, written as extended XYZ:
```
9
Lattice="6.730 0.000 0.000 0.000 6.730 0.000 0.000 0.000 6.730" Properties=species:S:1:pos:R:3 pbc="T T T"
Au 3.365 3.365 0.000
Au 3.365 0.000 3.365
Au 0.000 3.365 3.365
Te 1.786 1.786 1.786
Te 4.944 4.944 1.786
Te 4.944 1.786 4.944
Te 1.786 4.944 4.944
Tl 0.000 0.000 0.000
Zr 3.365 3.365 3.365
```

=====

Entry 7:
This record from OQMD describes Tm5Te2Au2 after structural relaxation. The functional is GGA-PBE.

Its space group is Cmce, No. 64. For the volume, the calculation gives 234.7 Å³/f.u. As for the total energy: -88.071 eV for the cell shown.

Cell and atoms, written as extended XYZ:
```
18
Lattice="7.607 -3.929 0.000 7.607 3.929 0.000 0.000 0.000 7.852" Properties=species:S:1:pos:R:3 pbc="T T T"
Au 7.607 -1.075 1.060
Au 7.607 2.854 2.865
Au 7.607 -2.854 4.986
Au 7.607 1.075 6.791
Te 3.169 0.000 0.000
Te 12.045 0.000 0.000
Te 4.438 0.000 3.926
Te 10.776 0.000 3.926
Tm 0.000 0.000 0.000
Tm 5.745 1.275 1.264
Tm 9.468 1.275 1.264
Tm 5.745 -2.654 2.662
Tm 9.468 -2.654 2.662
Tm 7.607 0.000 3.926
Tm 5.745 2.654 5.189
Tm 9.468 2.654 5.189
Tm 5.745 -1.275 6.588
Tm 9.468 -1.275 6.588
```

=====

Entry 8:
This record from OQMD describes TeWAu after structural relaxation. The functional is GGA-PBE.

Its space group is F-43m, No. 216. For the volume, the calculation gives 64.7 Å³/f.u. As for the total energy: -16.235 eV for the cell shown. The calculation puts the energy above the most stable polymorph in this dataset at 0.378 eV/atom.

Cell and atoms, written as extended XYZ:
```
3
Lattice="-3.670 -2.432 -0.963 0.417 -4.311 -1.246 -1.319 -3.288 2.786" Properties=species:S:1:pos:R:3 pbc="T T T"
Au -1.143 -2.508 0.144
Te 0.000 0.000 0.000
W -3.429 -7.524 0.433
```